A geometry-optimized Er2Tm2ThMg5 structure, computed with GGA-PBE.

Cell: 10.4578 10.4578 5.1535 Å, 90.00 90.00 90.00°
With the nearest neighbours (Å) after each atom.
Positions (direct):
Er 0.1781 0.3219 0.0000  3 Tm 3.01-3.16
Er 0.3219 0.8219 0.0000  3 Tm 3.01-3.16
Er 0.6781 0.1781 0.0000  3 Tm 3.01-3.16
Er 0.8219 0.6781 0.0000  3 Tm 3.01-3.16
Tm 0.1182 0.6182 0.0000  3 Er 3.01-3.16, 6 Mg 3.11-3.25
Tm 0.3818 0.1182 0.0000  3 Er 3.01-3.16, 6 Mg 3.11-3.25
Tm 0.6182 0.8818 0.0000  3 Er 3.01-3.16, 6 Mg 3.11-3.25
Tm 0.8818 0.3818 0.0000  3 Er 3.01-3.16, 6 Mg 3.11-3.25
Th 0.0000 0.0000 0.0000  8 Mg 3.40
Th 0.5000 0.5000 0.0000  8 Mg 3.40
Mg 0.0000 0.5000 0.5000  4 Tm 3.11, 4 Mg 3.26
Mg 0.0770 0.8023 0.5000  4 Mg 3.14-3.33, 2 Tm 3.25, 2 Th 3.40
Mg 0.1977 0.0770 0.5000  4 Mg 3.14-3.33, 2 Tm 3.25, 2 Th 3.40
Mg 0.3023 0.5770 0.5000  4 Mg 3.14-3.33, 2 Tm 3.25, 2 Th 3.40
Mg 0.4230 0.3023 0.5000  4 Mg 3.14-3.33, 2 Tm 3.25, 2 Th 3.40
Mg 0.5000 0.0000 0.5000  4 Tm 3.11, 4 Mg 3.26
Mg 0.5770 0.6977 0.5000  4 Mg 3.14-3.33, 2 Tm 3.25, 2 Th 3.40
Mg 0.6977 0.4230 0.5000  4 Mg 3.14-3.33, 2 Tm 3.25, 2 Th 3.40
Mg 0.8023 0.9230 0.5000  4 Mg 3.14-3.33, 2 Tm 3.25, 2 Th 3.40
Mg 0.9230 0.1977 0.5000  4 Mg 3.14-3.33, 2 Tm 3.25, 2 Th 3.40

Computed properties:
- density of states at the Fermi level (states/eV per cell) = 16.42
- symmetry = P4/mbm
- ΔH_f (0 K) (eV per atom) = 0.131
- final energy (eV per cell) = -64.29

***

A geometry-optimized YErThMg structure, computed with GGA-PBE.

Cell: 3.5880 3.5880 9.1714 Å, 90.00 90.00 90.00°
With the nearest neighbours (Å) after each atom.
Positions (direct):
Y 0.0000 0.0000 0.0000  4 Mg 3.37, 4 Th 3.51, 4 Y 3.59
Er 0.0000 0.0000 0.4770  4 Mg 3.33, 4 Th 3.47, 4 Er 3.59
Th 0.5000 0.5000 0.7356  4 Er 3.47, 4 Y 3.51, 4 Th 3.59
Mg 0.5000 0.5000 0.2411  4 Er 3.33, 4 Y 3.37, 4 Mg 3.59

Computed properties:
- density of states at the Fermi level (states/eV per cell) = 5.14
- energy above the most stable polymorph in this dataset (meV/atom) = 0.0
- symmetry = P4mm
- ΔH_f (0 K) (eV per atom) = -0.043
- final energy (eV per cell) = -20.22

***

A geometry-optimized YErThMg structure, computed with GGA-PBE.

Cell: 5.5202 5.5202 5.5202 Å, 60.00 60.00 60.00°
With the nearest neighbours (Å) after each atom.
Positions (direct):
Y 0.0000 0.0000 0.0000  4 Er 3.38, 4 Mg 3.38
Er 0.7500 0.7500 0.7500  4 Th 3.38, 4 Y 3.38
Th 0.5000 0.5000 0.5000  4 Mg 3.38, 4 Er 3.38
Mg 0.2500 0.2500 0.2500  4 Th 3.38, 4 Y 3.38

Computed properties:
- density of states at the Fermi level (states/eV per cell) = 7.27
- energy above the most stable polymorph in this dataset (meV/atom) = 137.0
- symmetry = F-43m
- ΔH_f (0 K) (eV per atom) = 0.094
- final energy (eV per cell) = -19.67

***

A geometry-optimized Y2Er2ThMg5 structure, computed with GGA-PBE.

Cell: 10.5341 10.5341 5.1511 Å, 90.00 90.00 90.00°
With the nearest neighbours (Å) after each atom.
Positions (direct):
Y 0.1779 0.3221 0.0000  3 Er 3.03-3.19
Y 0.3221 0.8221 0.0000  3 Er 3.03-3.19
Y 0.6779 0.1779 0.0000  3 Er 3.03-3.19
Y 0.8221 0.6779 0.0000  3 Er 3.03-3.19
Er 0.1189 0.6189 0.0000  3 Y 3.03-3.19, 6 Mg 3.13-3.25
Er 0.3811 0.1189 0.0000  3 Y 3.03-3.19, 6 Mg 3.13-3.25
Er 0.6189 0.8811 0.0000  3 Y 3.03-3.19, 6 Mg 3.13-3.25
Er 0.8811 0.3811 0.0000  3 Y 3.03-3.19, 6 Mg 3.13-3.25
Th 0.0000 0.0000 0.0000  8 Mg 3.40
Th 0.5000 0.5000 0.0000  8 Mg 3.40
Mg 0.0000 0.5000 0.5000  4 Er 3.13, 4 Mg 3.28
Mg 0.0748 0.8023 0.5000  4 Mg 3.15-3.39, 2 Er 3.25, 2 Th 3.40
Mg 0.1977 0.0748 0.5000  4 Mg 3.15-3.39, 2 Er 3.25, 2 Th 3.40
Mg 0.3023 0.5748 0.5000  4 Mg 3.15-3.39, 2 Er 3.25, 2 Th 3.40
Mg 0.4252 0.3023 0.5000  4 Mg 3.15-3.39, 2 Er 3.25, 2 Th 3.40
Mg 0.5000 0.0000 0.5000  4 Er 3.13, 4 Mg 3.28
Mg 0.5748 0.6977 0.5000  4 Mg 3.15-3.39, 2 Er 3.25, 2 Th 3.40
Mg 0.6977 0.4252 0.5000  4 Mg 3.15-3.39, 2 Er 3.25, 2 Th 3.40
Mg 0.8023 0.9252 0.5000  4 Mg 3.15-3.39, 2 Er 3.25, 2 Th 3.40
Mg 0.9252 0.1977 0.5000  4 Mg 3.15-3.39, 2 Er 3.25, 2 Th 3.40

Computed properties:
- density of states at the Fermi level (states/eV per cell) = 16.36
- symmetry = P4/mbm
- ΔH_f (0 K) (eV per atom) = 0.122
- final energy (eV per cell) = -72.45